Compound: LiAuSe
Source: the Alexandria database
Functional: GGA-PBE
Structure: relaxed

Crystal system = tetragonal
Raw formation energy = -0.3982 eV/atom
DOS(E_F) = 0.26 states/eV/atom
Magnetization = 0.0 Bohr magnetons per cell
E_tot = -3.29 eV per atom

Lattice parameters (Å, degrees): 4.7523 4.7523 4.7523 133.73 133.75 67.50
Closest atoms and distances in Å follow each position.
Element x y z (fractional)
Au 0.9945 0.9945 0.0000  1 Se 2.56, 1 Li 2.69
Li 0.3343 0.3343 0.0000  5 Se 2.66-2.94, 5 Au 2.69-2.93
Se 0.6711 0.6711 0.0000  1 Au 2.56, 1 Li 2.66

Compound: Li3AuSe
Source: the Alexandria database
Functional: GGA-PBE
Structure: relaxed

Crystal system = cubic
Raw formation energy = -0.4517 eV/atom
DOS(E_F) = 0.00 states/eV/atom
Energy relative to the lowest polymorph listed for this composition = 0.256 eV/atom
Magnetization = 0.0 Bohr magnetons per cell
E_tot = -2.95 eV per atom

Lattice parameters (Å, degrees): 4.7476 4.7476 4.7476 90.00 90.00 90.00
Closest atoms and distances in Å follow each position.
Element x y z (fractional)
Au 0.0000 0.0000 0.0000  6 Li 2.37
Se 0.5000 0.5000 0.5000  12 Li 3.36
Li 0.0000 0.5000 0.0000  2 Au 2.37
Li 0.0000 0.0000 0.5000  2 Au 2.37
Li 0.5000 0.0000 0.0000  2 Au 2.37

Compound: LiAuSe
Source: the Alexandria database
Functional: GGA-PBE
Structure: relaxed

Crystal system = trigonal
Raw formation energy = -0.2677 eV/atom
DOS(E_F) = 0.46 states/eV/atom
Magnetization = 0.0 Bohr magnetons per cell
E_tot = -3.16 eV per atom

Lattice parameters (Å, degrees): 2.9530 2.9530 7.1802 90.00 90.00 120.00
Closest atoms and distances in Å follow each position.
Element x y z (fractional)
Au 0.0000 0.0000 0.0455  3 Li 2.72, 6 Au 2.95
Li 0.6667 0.3333 0.3408  3 Se 2.60, 3 Au 2.72
Se 0.3333 0.6667 0.6137  3 Li 2.60

Compound: LiAuSe
Source: the Alexandria database
Functional: GGA-PBE
Structure: relaxed

Crystal system = trigonal
Raw formation energy = -0.4652 eV/atom
DOS(E_F) = 0.06 states/eV/atom
Magnetization = 0.0 Bohr magnetons per cell
E_tot = -3.36 eV per atom

Lattice parameters (Å, degrees): 4.3899 4.3899 3.9131 90.00 90.00 120.00
Closest atoms and distances in Å follow each position.
Element x y z (fractional)
Au 0.0000 0.0000 0.7797  3 Se 2.55
Li 0.6667 0.3333 0.3788  3 Au 2.98, 6 Se 3.11-3.29
Se 0.3333 0.6667 0.8415  3 Au 2.55

Compound: Li3AuSe
Source: the Alexandria database
Functional: GGA-PBE
Structure: relaxed

Crystal system = cubic
Raw formation energy = -0.7074 eV/atom
DOS(E_F) = 0.00 states/eV/atom
Energy relative to the lowest polymorph listed for this composition = 0.000 eV/atom
Magnetization = 0.0 Bohr magnetons per cell
E_tot = -3.21 eV per atom

Lattice parameters (Å, degrees): 4.7905 4.7905 4.7905 90.00 90.00 90.00
Closest atoms and distances in Å follow each position.
Element x y z (fractional)
Au 0.5000 0.5000 0.5000  12 Li 3.39
Se 0.0000 0.0000 0.0000  6 Li 2.40
Li 0.0000 0.5000 0.0000  2 Se 2.40
Li 0.0000 0.0000 0.5000  2 Se 2.40
Li 0.5000 0.0000 0.0000  2 Se 2.40

Compound: Li4AuSe
Source: the Alexandria database
Functional: GGA-PBE
Structure: relaxed

Crystal system = cubic
Raw formation energy = -0.2524 eV/atom
DOS(E_F) = 0.39 states/eV/atom
Magnetization = 0.9 Bohr magnetons per cell
E_tot = -2.66 eV per atom

Lattice parameters (Å, degrees): 5.1780 5.1780 5.1780 60.00 60.00 60.00
Closest atoms and distances in Å follow each position.
Element x y z (fractional)
Li 0.8758 0.3747 0.3747  6 Li 2.58-2.59
Li 0.3747 0.3747 0.8758  6 Li 2.58-2.59
Li 0.3747 0.8758 0.3747  6 Li 2.58-2.59
Li 0.3747 0.3747 0.3747  6 Li 2.58-2.59
Au 0.0000 0.0000 0.0000  12 Li 3.04, 4 Se 3.17
Se 0.7500 0.7500 0.7500  12 Li 3.04, 4 Au 3.17

Compound: LiAu2Se2
Source: the Alexandria database
Functional: GGA-PBE
Structure: relaxed

Crystal system = monoclinic
Raw formation energy = -0.2946 eV/atom
DOS(E_F) = 0.50 states/eV/atom
Energy relative to the lowest polymorph listed for this composition = 0.000 eV/atom
Magnetization = 0.0 Bohr magnetons per cell
E_tot = -3.38 eV per atom

Lattice parameters (Å, degrees): 4.5992 4.5992 6.2366 70.76 70.76 83.17
Closest atoms and distances in Å follow each position.
Element x y z (fractional)
Li 0.0000 0.0000 0.0000  2 Se 2.60
Au 0.0000 0.5000 0.5000  2 Se 2.46
Au 0.5000 0.0000 0.5000  2 Se 2.46
Se 0.7216 0.7216 0.8222  2 Au 2.46, 1 Li 2.60
Se 0.2784 0.2784 0.1778  2 Au 2.46, 1 Li 2.60

Compound: Li2Au2Se
Source: the Alexandria database
Functional: GGA-PBE
Structure: relaxed

Crystal system = tetragonal
Raw formation energy = -0.3788 eV/atom
DOS(E_F) = 0.03 states/eV/atom
Energy relative to the lowest polymorph listed for this composition = 0.046 eV/atom
Magnetization = 0.0 Bohr magnetons per cell
E_tot = -3.15 eV per atom

Lattice parameters (Å, degrees): 6.3719 6.3719 4.2302 90.00 90.00 90.00
Closest atoms and distances in Å follow each position.
Element x y z (fractional)
Au 0.1495 0.6495 0.5000  1 Au 2.69, 6 Li 2.82
Au 0.6495 0.8505 0.5000  1 Au 2.69, 6 Li 2.82
Au 0.8505 0.3505 0.5000  1 Au 2.69, 6 Li 2.82
Au 0.3505 0.1495 0.5000  1 Au 2.69, 6 Li 2.82
Se 0.0000 0.0000 0.0000  4 Li 2.45
Se 0.5000 0.5000 0.0000  4 Li 2.45
Li 0.3561 0.8561 0.0000  2 Se 2.45, 1 Li 2.59
Li 0.8561 0.6439 0.0000  2 Se 2.45, 1 Li 2.59
Li 0.6439 0.1439 0.0000  2 Se 2.45, 1 Li 2.59
Li 0.1439 0.3561 0.0000  2 Se 2.45, 1 Li 2.59

What is the magnetization in the seventh record?
0.0 Bohr magnetons per cell

Look up the DOS(E_F) of the second one.
0.00 states/eV/atom